# CsGaAg

An optimized crystal structure of CsGaAg (PBE, OQMD).

- uncorrected energy (eV per atom) = -1.533
- SG = F-43m, No. 216

abc: 5.8094 5.8094 5.8094
angles: 60.00 60.00 60.00
With the nearest neighbours (Å) after each atom.
Sites, in units of the cell vectors:
Cs (0.0000, 0.0000, 0.0000)  4 Ag 3.56, 4 Ga 3.56
Ga (0.2500, 0.2500, 0.2500)  4 Cs 3.56
Ag (0.7500, 0.7500, 0.7500)  4 Cs 3.56

# Lu4SnC2Se

An optimized crystal structure of Lu4SnC2Se (PBE, OQMD).

- M_tot (μB/f.u.) = 0.009
- uncorrected energy (eV per atom) = -6.403
- SG = P-6m2, No. 187

abc: 3.6044 3.6044 14.1584
angles: 90.00 90.00 120.00
With the nearest neighbours (Å) after each atom.
Sites, in units of the cell vectors:
Lu (0.0000, 0.0000, 0.1389)  3 C 2.45
Lu (0.0000, 0.0000, 0.8611)  3 C 2.45
Lu (0.6667, 0.3333, 0.3202)  3 C 2.44
Lu (0.6667, 0.3333, 0.6798)  3 C 2.44
Sn (0.0000, 0.0000, 0.5000)  6 Lu 3.29, 6 Sn 3.60
C (0.3333, 0.6667, 0.2307)  6 Lu 2.44-2.45
C (0.3333, 0.6667, 0.7693)  6 Lu 2.44-2.45
Se (0.6667, 0.3333, 0.0000)  6 Lu 2.86

# BaMg2GaAg

An optimized crystal structure of BaMg2GaAg (PBE, OQMD).

- uncorrected energy (eV per atom) = -2.443
- SG = I4mm, No. 107

abc: 6.8530 6.8530 6.8530
angles: 139.60 139.60 58.46
With the nearest neighbours (Å) after each atom.
Sites, in units of the cell vectors:
Ba (0.0000, 0.0000, 0.0000)  4 Ga 3.60, 4 Ag 3.63, 8 Mg 3.74-3.89
Mg (0.2419, 0.7419, 0.5000)  2 Ga 2.84, 2 Ag 2.90
Mg (0.7419, 0.2419, 0.5000)  2 Ga 2.84, 2 Ag 2.90
Ga (0.6113, 0.6113, 0.0000)  1 Ag 2.75, 4 Mg 2.84
Ag (0.3814, 0.3814, 0.0000)  1 Ga 2.75, 4 Mg 2.90

# CsErPb

An optimized crystal structure of CsErPb (PBE, OQMD).

- M_tot (μB/f.u.) = 0.000
- uncorrected energy (eV per atom) = -2.729
- SG = F-43m, No. 216

abc: 5.5171 5.5171 5.5171
angles: 60.00 60.00 60.00
With the nearest neighbours (Å) after each atom.
Sites, in units of the cell vectors:
Cs (0.0000, 0.0000, 0.0000)  4 Er 3.38
Er (0.2500, 0.2500, 0.2500)  4 Pb 3.38, 4 Cs 3.38
Pb (0.5000, 0.5000, 0.5000)  4 Er 3.38

Question: Number 1 is which compound?
Answer: CsGaAg